! Ca2MnTl, optimized geometry, DFT PBEsol; values from VASP
&SYSTEM
  ibrav = 0, nat = 4, ntyp = 3
/
ATOMIC_SPECIES
Ca 40.08 Ca.upf
Mn 54.94 Mn.upf
Tl 204.38 Tl.upf
CELL_PARAMETERS angstrom
4.804 0.000 0.000
0.000 1.872 6.019
0.000 -1.872 6.019
ATOMIC_POSITIONS crystal
Ca 0.000 0.000 0.000
Ca 0.500 0.312 0.312
Mn 0.000 0.716 0.716
Tl 0.500 0.592 0.592
! final energy	-4.0519	eV/atom
! ΔE_f	113	meV per atom
! D(E_F)	0.9845	states/eV/atom


! CaMn2Tl, optimized geometry, DFT PBEsol; values from VASP
&SYSTEM
  ibrav = 0, nat = 4, ntyp = 3
/
ATOMIC_SPECIES
Ca 40.08 Ca.upf
Mn 54.94 Mn.upf
Tl 204.38 Tl.upf
CELL_PARAMETERS angstrom
3.557 0.000 0.000
0.000 3.557 0.000
0.000 0.000 6.623
ATOMIC_POSITIONS crystal
Ca 0.000 0.000 0.000
Mn 0.500 0.500 0.292
Mn 0.500 0.500 0.708
Tl 0.000 0.000 0.500
! final energy	-5.4576	eV/atom
! ΔE_f	614	meV per atom
! energy above the lowest structure with this stoichiometry	326	meV per atom
! D(E_F)	1.4550	states/eV/atom


! CaMnTl2, optimized geometry, DFT PBEsol; values from VASP
&SYSTEM
  ibrav = 0, nat = 4, ntyp = 3
/
ATOMIC_SPECIES
Ca 40.08 Ca.upf
Mn 54.94 Mn.upf
Tl 204.38 Tl.upf
CELL_PARAMETERS angstrom
4.665 0.000 0.000
0.000 4.665 0.000
0.000 0.000 4.284
ATOMIC_POSITIONS crystal
Ca 0.000 0.000 0.000
Mn 0.500 0.500 0.000
Tl 0.000 0.500 0.500
Tl 0.500 0.000 0.500
! final energy	-4.1676	eV/atom
! ΔE_f	121	meV per atom
! D(E_F)	0.5134	states/eV/atom


Repeat the second record exactly.
! CaMn2Tl, optimized geometry, DFT PBEsol; values from VASP
&SYSTEM
  ibrav = 0, nat = 4, ntyp = 3
/
ATOMIC_SPECIES
Ca 40.08 Ca.upf
Mn 54.94 Mn.upf
Tl 204.38 Tl.upf
CELL_PARAMETERS angstrom
3.557 0.000 0.000
0.000 3.557 0.000
0.000 0.000 6.623
ATOMIC_POSITIONS crystal
Ca 0.000 0.000 0.000
Mn 0.500 0.500 0.292
Mn 0.500 0.500 0.708
Tl 0.000 0.000 0.500
! final energy	-5.4576	eV/atom
! ΔE_f	614	meV per atom
! energy above the lowest structure with this stoichiometry	326	meV per atom
! D(E_F)	1.4550	states/eV/atom